Record 1
The following is a DFT calculation (PBE-GGA) of a relaxed Li2LaCu10 crystal.

Computed properties:
The density of states at the Fermi level is 0.3993 states/eV/atom. As for the formation energy: -0.0415 eV/atom.

Cell: 8.6847 6.6694 6.5231 Å, 82.33 49.56 48.11°
Last column: nearest neighbours and their distance in Å.
Fractional positions:
Li 0.0000 0.5000 0.0000  2 Li 2.41, 8 Cu 2.47-2.69
Li 0.5000 0.0000 0.5000  2 Li 2.41, 8 Cu 2.47-2.69
La 0.0000 0.0000 0.0000  16 Cu 3.12-3.26, 4 Li 3.33
Cu 0.0000 0.0000 0.5000  10 Cu 2.41-2.63
Cu 0.0069 0.6401 0.3599  7 Cu 2.44-2.71, 2 Li 2.69
Cu 0.2694 0.4972 0.5028  2 Li 2.47, 7 Cu 2.51-2.76
Cu 0.3599 0.9931 0.0069  7 Cu 2.44-2.71, 2 Li 2.69
Cu 0.4972 0.2694 0.7306  2 Li 2.47, 7 Cu 2.51-2.76
Cu 0.5000 0.5000 0.0000  10 Cu 2.41-2.63
Cu 0.5028 0.7306 0.2694  2 Li 2.47, 7 Cu 2.51-2.76
Cu 0.6401 0.0069 0.9931  7 Cu 2.44-2.71, 2 Li 2.69
Cu 0.7306 0.5028 0.4972  2 Li 2.47, 7 Cu 2.51-2.76
Cu 0.9931 0.3599 0.6401  7 Cu 2.44-2.71, 2 Li 2.69

Record 2
The following is a DFT calculation (PBE-GGA) of a relaxed LiMnMo2 crystal.

Computed properties:
As for the excess energy over the best structure of this formula in the dataset: 435 meV/atom. The density of states at the Fermi level is 0.7922 states/eV/atom. As for the formation energy: 0.7138 eV/atom.

Cell: 5.4550 5.4550 5.4550 Å, 103.04 103.04 123.28°
Last column: nearest neighbours and their distance in Å.
Fractional positions:
Li 0.0000 0.0000 0.0000  2 Mn 2.59, 4 Mo 2.67
Li 0.7500 0.2500 0.5000  2 Mn 2.59, 4 Mo 2.67
Mn 0.2500 0.7500 0.5000  4 Mo 2.32, 2 Li 2.59
Mn 0.5000 0.5000 0.0000  4 Mo 2.32, 2 Li 2.59
Mo 0.1625 0.6250 0.0375  2 Mn 2.32
Mo 0.3750 0.4125 0.5375  2 Mn 2.32
Mo 0.5875 0.1250 0.9625  2 Mn 2.32
Mo 0.8750 0.8375 0.4625  2 Mn 2.32

Record 3
The following is a DFT calculation (PBE-GGA) of a relaxed BaReClO4 crystal.

Computed properties:
The value obtained for the uncorrected formation energy is -2.105 eV/atom. The density of states at the Fermi level is 0.0000 states/eV/atom.

Cell: 6.9840 6.9840 7.6771 Å, 101.70 101.70 73.36°
Last column: nearest neighbours and their distance in Å.
Fractional positions:
Ba 0.2114 0.2114 0.1357  4 O 2.78-2.84, 2 Cl 2.99-3.02
Ba 0.7886 0.7886 0.8643  4 O 2.78-2.84, 2 Cl 2.99-3.02
Re 0.3661 0.3661 0.7428  4 O 1.75-1.76
Re 0.6339 0.6339 0.2572  4 O 1.75-1.76
Cl 0.0315 0.0315 0.7685  2 Ba 2.99-3.02
Cl 0.9685 0.9685 0.2315  2 Ba 2.99-3.02
O 0.1501 0.4900 0.8452  1 Re 1.76
O 0.3006 0.3006 0.5108  1 Re 1.75
O 0.4732 0.4732 0.2178  1 Re 1.75
O 0.4900 0.1501 0.8452  1 Re 1.76
O 0.5100 0.8499 0.1548  1 Re 1.76
O 0.5268 0.5268 0.7822  1 Re 1.75
O 0.6994 0.6994 0.4892  1 Re 1.75
O 0.8499 0.5100 0.1548  1 Re 1.76

Record 4
The following is a DFT calculation (PBE-GGA) of a relaxed Mg2Cd2Sn3 crystal.

Computed properties:
The density of states at the Fermi level is 0.4183 states/eV/atom. As for the formation energy: -0.0238 eV/atom.

Cell: 11.1478 11.1478 3.2762 Å, 90.00 90.00 154.96°
Last column: nearest neighbours and their distance in Å.
Fractional positions:
Mg 0.1531 0.8469 0.0000  6 Cd 3.21-3.31, 2 Mg 3.28, 5 Sn 3.33-3.36
Mg 0.8469 0.1531 0.0000  6 Cd 3.21-3.31, 2 Mg 3.28, 5 Sn 3.33-3.36
Cd 0.2853 0.7147 0.5000  2 Cd 2.86, 1 Sn 3.00
Cd 0.7147 0.2853 0.5000  2 Cd 2.86, 1 Sn 3.00
Sn 0.0000 0.0000 0.0000  10 Sn 3.28-3.37, 2 Mg 3.33
Sn 0.4230 0.5770 0.5000  1 Cd 3.00, 3 Sn 3.28-3.35, 4 Mg 3.36
Sn 0.5770 0.4230 0.5000  1 Cd 3.00, 3 Sn 3.28-3.35, 4 Mg 3.36

Record 5
The following is a DFT calculation (PBE-GGA) of a relaxed NaTcNi3 crystal.

Computed properties:
As for the excess energy over the best structure of this formula in the dataset: 0 meV/atom. The density of states at the Fermi level is 1.2261 states/eV/atom. As for the formation energy: 1.0124 eV/atom.

Cell: 4.5453 4.5453 4.5453 Å, 90.00 90.00 90.00°
Last column: nearest neighbours and their distance in Å.
Fractional positions:
Na 0.0000 0.0000 0.0000  12 Ni 3.21
Tc 0.5000 0.5000 0.5000  6 Ni 2.27
Ni 0.0000 0.5000 0.5000  2 Tc 2.27
Ni 0.5000 0.0000 0.5000  2 Tc 2.27
Ni 0.5000 0.5000 0.0000  2 Tc 2.27